(a)
The following is a DFT calculation (PBE-GGA) of a relaxed ScHgSeBr2 crystal.

Calculated values
Crystal system: tetragonal
Space group: No. 123
Total magnetization, μB per formula unit: 0.000

Cell lengths 5.242, 5.242, 5.419 Å; angles 90.00, 90.00, 90.00 degrees
Sites, in units of the cell vectors:
1 Sc 0.000 0.000 0.000
2 Hg 0.500 0.500 0.500
3 Se 0.000 0.000 0.500
4 Br 0.000 0.500 0.000
5 Br 0.500 0.000 0.000

***

(b)
The following is a DFT calculation (PBE-GGA) of a relaxed ScHgSeBr2 crystal.

Calculated values
Crystal system: tetragonal
Space group: No. 123
Total magnetization, μB per formula unit: 0.912

Cell lengths 5.403, 5.403, 5.420 Å; angles 90.00, 90.00, 90.00 degrees
Sites, in units of the cell vectors:
1 Sc 0.000 0.000 0.000
2 Hg 0.500 0.500 0.500
3 Se 0.500 0.500 0.000
4 Br 0.000 0.500 0.500
5 Br 0.500 0.000 0.500

***

Tell me which of them is the most stable. Sure, it is (a).

***

(a)
The following is a DFT calculation (PBE-GGA) of a relaxed SiHgSe2Br crystal.

Calculated values
Crystal system: tetragonal
Space group: No. 123
Total magnetization, μB per formula unit: 0.000

Cell lengths 4.919, 4.919, 5.106 Å; angles 90.00, 90.00, 90.00 degrees
Sites, in units of the cell vectors:
1 Si 0.000 0.000 0.000
2 Hg 0.500 0.500 0.500
3 Se 0.000 0.500 0.000
4 Se 0.500 0.000 0.000
5 Br 0.000 0.000 0.500

***

(b)
The following is a DFT calculation (PBE-GGA) of a relaxed SiHgSe2Br crystal.

Calculated values
Crystal system: tetragonal
Space group: No. 123
Total magnetization, μB per formula unit: 0.000

Cell lengths 5.247, 5.247, 5.376 Å; angles 90.00, 90.00, 90.00 degrees
Sites, in units of the cell vectors:
1 Si 0.000 0.000 0.000
2 Hg 0.500 0.500 0.500
3 Se 0.000 0.500 0.500
4 Se 0.500 0.000 0.500
5 Br 0.500 0.500 0.000

***

Tell me which of them is the most stable. Sure, it is (a).

***

(a)
The following is a DFT calculation (PBE-GGA) of a relaxed SiHgSeBr2 crystal.

Calculated values
Crystal system: tetragonal
Space group: No. 123
Total magnetization, μB per formula unit: 0.210

Cell lengths 5.394, 5.394, 5.395 Å; angles 90.00, 90.00, 90.00 degrees
Sites, in units of the cell vectors:
1 Si 0.000 0.000 0.000
2 Hg 0.500 0.500 0.500
3 Se 0.500 0.500 0.000
4 Br 0.000 0.500 0.500
5 Br 0.500 0.000 0.500

***

(b)
The following is a DFT calculation (PBE-GGA) of a relaxed SiHgSeBr2 crystal.

Calculated values
Crystal system: tetragonal
Space group: No. 123
Total magnetization, μB per formula unit: 0.000

Cell lengths 5.110, 5.110, 5.030 Å; angles 90.00, 90.00, 90.00 degrees
Sites, in units of the cell vectors:
1 Si 0.000 0.000 0.000
2 Hg 0.500 0.500 0.500
3 Se 0.000 0.000 0.500
4 Br 0.000 0.500 0.000
5 Br 0.500 0.000 0.000

***

Tell me which of them is the most stable. Sure, it is (b).

***

(a)
The following is a DFT calculation (PBE-GGA) of a relaxed SrHgSeBr2 crystal.

Calculated values
Crystal system: tetragonal
Space group: No. 123
Total magnetization, μB per formula unit: 1.997

Cell lengths 5.927, 5.927, 6.418 Å; angles 90.00, 90.00, 90.00 degrees
Sites, in units of the cell vectors:
1 Sr 0.000 0.000 0.000
2 Hg 0.500 0.500 0.500
3 Se 0.000 0.000 0.500
4 Br 0.000 0.500 0.000
5 Br 0.500 0.000 0.000

***

(b)
The following is a DFT calculation (PBE-GGA) of a relaxed SrHgSeBr2 crystal.

Calculated values
Crystal system: tetragonal
Space group: No. 123
Total magnetization, μB per formula unit: 0.000

Cell lengths 5.532, 5.532, 5.389 Å; angles 90.00, 90.00, 90.00 degrees
Sites, in units of the cell vectors:
1 Sr 0.000 0.000 0.000
2 Hg 0.500 0.500 0.500
3 Se 0.500 0.500 0.000
4 Br 0.000 0.500 0.500
5 Br 0.500 0.000 0.500

***

Tell me which of them is the most stable. Sure, it is (b).

***

(a)
The following is a DFT calculation (PBE-GGA) of a relaxed SrHgSe2Br crystal.

Calculated values
Crystal system: tetragonal
Space group: No. 123
Total magnetization, μB per formula unit: 3.002

Cell lengths 6.173, 6.173, 5.902 Å; angles 90.00, 90.00, 90.00 degrees
Sites, in units of the cell vectors:
1 Sr 0.000 0.000 0.000
2 Hg 0.500 0.500 0.500
3 Se 0.000 0.500 0.000
4 Se 0.500 0.000 0.000
5 Br 0.000 0.000 0.500

***

(b)
The following is a DFT calculation (PBE-GGA) of a relaxed SrHgSe2Br crystal.

Calculated values
Crystal system: tetragonal
Space group: No. 123
Total magnetization, μB per formula unit: 0.000

Cell lengths 5.246, 5.246, 5.747 Å; angles 90.00, 90.00, 90.00 degrees
Sites, in units of the cell vectors:
1 Sr 0.000 0.000 0.000
2 Hg 0.500 0.500 0.500
3 Se 0.000 0.500 0.500
4 Se 0.500 0.000 0.500
5 Br 0.500 0.500 0.000

***

Tell me which of them is the most stable. Sure, it is (b).

***

(a)
The following is a DFT calculation (PBE-GGA) of a relaxed TaHgSeBr2 crystal.

Calculated values
Crystal system: tetragonal
Space group: No. 123
Total magnetization, μB per formula unit: 3.005

Cell lengths 5.330, 5.330, 5.384 Å; angles 90.00, 90.00, 90.00 degrees
Sites, in units of the cell vectors:
1 Ta 0.000 0.000 0.000
2 Hg 0.500 0.500 0.500
3 Se 0.500 0.500 0.000
4 Br 0.000 0.500 0.500
5 Br 0.500 0.000 0.500

***

(b)
The following is a DFT calculation (PBE-GGA) of a relaxed TaHgSeBr2 crystal.

Calculated values
Crystal system: tetragonal
Space group: No. 123
Total magnetization, μB per formula unit: 0.000

Cell lengths 5.256, 5.256, 5.003 Å; angles 90.00, 90.00, 90.00 degrees
Sites, in units of the cell vectors:
1 Ta 0.000 0.000 0.000
2 Hg 0.500 0.500 0.500
3 Se 0.000 0.000 0.500
4 Br 0.000 0.500 0.000
5 Br 0.500 0.000 0.000

***

Tell me which of them is the most stable. Sure, it is (b).

***

(a)
The following is a DFT calculation (PBE-GGA) of a relaxed TiHgSeBr2 crystal.

Calculated values
Crystal system: tetragonal
Space group: No. 123
Total magnetization, μB per formula unit: 0.595

Cell lengths 5.607, 5.607, 5.216 Å; angles 90.00, 90.00, 90.00 degrees
Sites, in units of the cell vectors:
1 Ti 0.000 0.000 0.000
2 Hg 0.500 0.500 0.000
3 Se 0.500 0.500 0.500
4 Br 0.000 0.500 0.500
5 Br 0.500 0.000 0.500

***

(b)
The following is a DFT calculation (PBE-GGA) of a relaxed TiHgSeBr2 crystal.

Calculated values
Crystal system: tetragonal
Space group: No. 123
Total magnetization, μB per formula unit: 0.000

Cell lengths 5.235, 5.235, 4.938 Å; angles 90.00, 90.00, 90.00 degrees
Sites, in units of the cell vectors:
1 Ti 0.000 0.000 0.000
2 Hg 0.500 0.500 0.500
3 Se 0.000 0.000 0.500
4 Br 0.000 0.500 0.000
5 Br 0.500 0.000 0.000

***

Tell me which of them is the most stable. Sure, it is (b).